# 1
The following is a PBE calculation of a geometry-optimized Nb3Ir4W structure, from the Alexandria database.

a b c (Å): 3.9272 4.0145 8.0715
angles (deg): 90.00 90.00 90.00
Sites, in units of the cell vectors:
Ir: 0.0000 0.0000 0.5000
Ir: 0.0000 0.5000 0.7544
Ir: 0.0000 0.5000 0.2456
Ir: 0.0000 0.0000 0.0000
W: 0.5000 0.5000 0.0000
Nb: 0.5000 0.5000 0.5000
Nb: 0.5000 0.0000 0.7591
Nb: 0.5000 0.0000 0.2409

* space-group type: Pmmm

---

# 2
The following is a PBE calculation of a geometry-optimized Nb4IrW structure, from the Alexandria database.

a b c (Å): 4.3946 4.3957 6.3080
angles (deg): 89.95 89.97 90.00
Sites, in units of the cell vectors:
Nb: 0.5013 0.9976 0.7484
Nb: 0.5013 0.9970 0.2478
Nb: 0.0011 0.4973 0.2479
Nb: 0.0015 0.4973 0.7484
Ir: 0.0013 0.9973 0.4981
W: 0.5013 0.4973 0.9981

* space-group type: P4/mmm

---

# 3
The following is a PBE calculation of a geometry-optimized Nb2IrW structure, from the Alexandria database.

a b c (Å): 3.7637 3.7637 10.5080
angles (deg): 79.68 79.68 90.00
Sites, in units of the cell vectors:
Ir: 0.7500 0.2500 0.5000
Ir: 0.0000 0.0000 0.0000
Nb: 0.8750 0.8718 0.7500
Nb: 0.3750 0.3782 0.7500
Nb: 0.1282 0.6250 0.2500
Nb: 0.6218 0.1250 0.2500
W: 0.5000 0.5000 0.0000
W: 0.2500 0.7500 0.5000

* space-group type: I-42d

---

# 4
The following is a PBE calculation of a geometry-optimized NbIr5W4 structure, from the Alexandria database.

a b c (Å): 2.7918 2.7918 19.7302
angles (deg): 90.00 90.00 90.00
Sites, in units of the cell vectors:
Ir: 0.5000 0.5000 0.1054
Ir: 0.5000 0.5000 0.3020
Ir: 0.5000 0.5000 0.6980
Ir: 0.5000 0.5000 0.8946
Ir: 0.5000 0.5000 0.5000
W: 0.0000 0.0000 0.7990
W: 0.0000 0.0000 0.2010
W: 0.0000 0.0000 0.4005
W: 0.0000 0.0000 0.5995
Nb: 0.0000 0.0000 0.0000

* space-group type: P4/mmm

---

# 5
The following is a PBE calculation of a geometry-optimized Nb14IrW structure, from the Alexandria database.

a b c (Å): 5.7193 5.7193 9.2528
angles (deg): 90.00 90.00 110.13
Sites, in units of the cell vectors:
Nb: 0.3749 0.6251 0.7474
Nb: 0.1249 0.3751 0.5000
Nb: 0.6251 0.3749 0.0000
Nb: 0.8769 0.6269 0.2570
Nb: 0.1251 0.3749 0.0000
Nb: 0.8769 0.6269 0.7430
Nb: 0.3731 0.1231 0.2570
Nb: 0.6249 0.8751 0.5000
Nb: 0.8751 0.1249 0.2526
Nb: 0.8751 0.1249 0.7474
Nb: 0.3731 0.1231 0.7430
Nb: 0.6251 0.8749 0.0000
Nb: 0.3749 0.6251 0.2526
Nb: 0.1251 0.8749 0.0000
Ir: 0.6249 0.3751 0.5000
W: 0.1249 0.8751 0.5000

* space-group type: Cmmm

---

# 6
The following is a PBE calculation of a geometry-optimized NbIr2W structure, from the Alexandria database.

a b c (Å): 4.5033 4.5033 4.5033
angles (deg): 60.00 60.00 60.00
Sites, in units of the cell vectors:
Ir: 0.7500 0.7500 0.7500
Ir: 0.2500 0.2500 0.2500
Nb: 0.0000 0.0000 0.0000
W: 0.5000 0.5000 0.5000

* space-group type: Fm-3m
* ΔE to the lowest computed polymorph: 516.2 meV/atom

---

# 7
The following is a PBE calculation of a geometry-optimized Nb2Ir9W structure, from the Alexandria database.

a b c (Å): 6.9063 4.8505 6.7458
angles (deg): 70.98 65.05 69.66
Sites, in units of the cell vectors:
W: 0.0000 0.0000 0.0000
Nb: 0.7549 0.8830 0.4795
Nb: 0.2451 0.1170 0.5205
Ir: 0.0435 0.6100 0.7455
Ir: 0.4320 0.7178 0.8428
Ir: 0.9565 0.3900 0.2545
Ir: 0.5000 0.5000 0.5000
Ir: 0.5680 0.2822 0.1572
Ir: 0.7992 0.2438 0.7051
Ir: 0.6605 0.7851 0.0552
Ir: 0.3395 0.2149 0.9448
Ir: 0.2008 0.7562 0.2949

* space-group type: P-1

---

# 8
The following is a PBE calculation of a geometry-optimized NbIr2W structure, from the Alexandria database.

a b c (Å): 3.9317 3.9887 3.9887
angles (deg): 90.00 90.00 90.00
Sites, in units of the cell vectors:
Nb: 0.5000 0.5000 0.5000
Ir: 0.0000 0.5000 0.0000
Ir: 0.0000 0.0000 0.5000
W: 0.5000 0.0000 0.0000

* space-group type: P4/mmm
* ΔE to the lowest computed polymorph: 9.5 meV/atom

---

# 9
The following is a PBE calculation of a geometry-optimized NbIrW structure, from the Alexandria database.

a b c (Å): 4.7120 4.7120 5.4348
angles (deg): 99.27 99.27 107.57
Sites, in units of the cell vectors:
Nb: 0.1806 0.1806 0.7326
Nb: 0.8194 0.8194 0.2674
W: 0.3257 0.3257 0.2683
W: 0.6743 0.6743 0.7317
Ir: 0.7499 0.2501 0.0000
Ir: 0.2501 0.7499 0.0000

* space-group type: C2/m

---

# 10
The following is a PBE calculation of a geometry-optimized Nb2IrW structure, from the Alexandria database.

a b c (Å): 3.2577 3.2577 6.3273
angles (deg): 90.00 90.00 90.00
Sites, in units of the cell vectors:
W: 0.5000 0.5000 0.0000
Ir: 0.5000 0.5000 0.5000
Nb: 0.0000 0.0000 0.7527
Nb: 0.0000 0.0000 0.2473

* space-group type: P4/mmm

---

# 11
The following is a PBE calculation of a geometry-optimized Nb4Ir5W structure, from the Alexandria database.

a b c (Å): 2.8538 2.8538 19.5803
angles (deg): 90.00 90.00 90.00
Sites, in units of the cell vectors:
Ir: 0.5000 0.5000 0.2997
Ir: 0.5000 0.5000 0.7004
Ir: 0.5000 0.5000 0.5000
Ir: 0.5000 0.5000 0.0948
Ir: 0.5000 0.5000 0.9052
Nb: 0.0000 0.0000 0.6005
Nb: 0.0000 0.0000 0.8002
Nb: 0.0000 0.0000 0.1998
Nb: 0.0000 0.0000 0.3995
W: 0.0000 0.0000 0.0000

* space-group type: P4/mmm

---

# 12
The following is a PBE calculation of a geometry-optimized NbIr2W structure, from the Alexandria database.

a b c (Å): 7.1300 7.1300 5.7367
angles (deg): 51.58 51.58 90.00
Sites, in units of the cell vectors:
Nb: 0.5000 0.5000 0.0000
Nb: 0.2500 0.7500 0.5000
W: 0.7500 0.2500 0.5000
W: 0.0000 0.0000 0.0000
Ir: 0.6451 0.1250 0.2500
Ir: 0.8750 0.8951 0.7500
Ir: 0.3750 0.3549 0.7500
Ir: 0.1049 0.6250 0.2500

* space-group type: I-42d
* ΔE to the lowest computed polymorph: 707.0 meV/atom

---

# 13
The following is a PBE calculation of a geometry-optimized Nb2Ir2W structure, from the Alexandria database.

a b c (Å): 7.5513 7.5513 2.9530
angles (deg): 90.00 90.00 90.00
Sites, in units of the cell vectors:
Nb: 0.1690 0.6690 0.5000
Nb: 0.8310 0.3310 0.5000
Nb: 0.6690 0.8310 0.5000
Nb: 0.3310 0.1690 0.5000
Ir: 0.8695 0.6305 0.0000
Ir: 0.6305 0.1305 0.0000
Ir: 0.1305 0.3695 0.0000
Ir: 0.3695 0.8695 0.0000
W: 0.0000 0.0000 0.0000
W: 0.5000 0.5000 0.0000

* space-group type: P4/mbm

---

# 14
The following is a PBE calculation of a geometry-optimized NbIr2W structure, from the Alexandria database.

a b c (Å): 2.8223 7.8423 5.6507
angles (deg): 90.00 90.00 90.00
Sites, in units of the cell vectors:
Ir: 0.5000 0.5000 0.7559
Ir: 0.5000 0.5000 0.2441
Ir: 0.5000 0.0000 0.2441
Ir: 0.5000 0.0000 0.7559
Nb: 0.0000 0.7500 0.5000
Nb: 0.0000 0.2500 0.5000
W: 0.0000 0.7500 0.0000
W: 0.0000 0.2500 0.0000

* space-group type: Pmmm
* ΔE to the lowest computed polymorph: 0.0 meV/atom

---

# 15
The following is a PBE calculation of a geometry-optimized ZrNbIrW structure, from the Alexandria database.

a b c (Å): 4.6208 4.6208 4.6208
angles (deg): 60.00 60.00 60.00
Sites, in units of the cell vectors:
Ir: 0.0000 0.0000 0.0000
W: 0.5000 0.5000 0.5000
Zr: 0.2500 0.2500 0.2500
Nb: 0.7500 0.7500 0.7500

* space-group type: F-43m

---

# 16
The following is a PBE calculation of a geometry-optimized YNb3Ir structure, from the Alexandria database.

a b c (Å): 4.7922 4.7922 4.7922
angles (deg): 90.00 90.00 90.00
Sites, in units of the cell vectors:
Nb: 0.0000 0.0000 0.5000
Nb: 0.5000 0.0000 0.0000
Nb: 0.0000 0.5000 0.0000
Y: 0.0000 0.0000 0.0000
Ir: 0.5000 0.5000 0.5000

* space-group type: Pm-3m
* ΔE to the lowest computed polymorph: 1684.2 meV/atom

---

# 17
The following is a PBE calculation of a geometry-optimized YNb3Ir structure, from the Alexandria database.

a b c (Å): 4.9357 4.9357 4.9357
angles (deg): 90.00 90.00 90.00
Last column: magnetic moment on the atom in μB.
Sites, in units of the cell vectors:
Ir: 0.0000 0.0000 0.0000  0.01
Nb: 0.0000 0.0000 0.5000  0.25
Nb: 0.5000 0.0000 0.0000  0.10
Nb: 0.0000 0.5000 0.0000  0.11
Y: 0.5000 0.5000 0.5000  0.06

* space-group type: Pm-3m
* ΔE to the lowest computed polymorph: 0.0 meV/atom

---

# 18
The following is a PBE calculation of a geometry-optimized Y2Nb2Ir structure, from the Alexandria database.

a b c (Å): 6.7389 6.7389 5.0211
angles (deg): 90.00 90.00 90.00
Sites, in units of the cell vectors:
Y: 0.1694 0.6694 0.5000
Y: 0.8306 0.3306 0.5000
Y: 0.6694 0.8306 0.5000
Y: 0.3306 0.1694 0.5000
Nb: 0.8558 0.6442 0.0000
Nb: 0.1442 0.3558 0.0000
Nb: 0.6442 0.1442 0.0000
Nb: 0.3558 0.8558 0.0000
Ir: 0.5000 0.5000 0.0000
Ir: 0.0000 0.0000 0.0000

* space-group type: P4/mbm

---

# 19
The following is a PBE calculation of a geometry-optimized Y3NbIr structure, from the Alexandria database.

a b c (Å): 5.2022 5.2022 5.2022
angles (deg): 90.00 90.00 90.00
Sites, in units of the cell vectors:
Y: 0.5000 0.0000 0.0000
Y: 0.0000 0.0000 0.5000
Y: 0.0000 0.5000 0.0000
Ir: 0.5000 0.5000 0.5000
Nb: 0.0000 0.0000 0.0000

* space-group type: Pm-3m
* ΔE to the lowest computed polymorph: 694.6 meV/atom

---

# 20
The following is a PBE calculation of a geometry-optimized Y3NbIr structure, from the Alexandria database.

a b c (Å): 5.3470 5.3470 5.3470
angles (deg): 90.00 90.00 90.00
Last column: magnetic moment on the atom in μB.
Sites, in units of the cell vectors:
Ir: 0.0000 0.0000 0.0000  0.08
Y: 0.0000 0.5000 0.0000  0.02
Y: 0.0000 0.0000 0.5000  0.04
Y: 0.5000 0.0000 0.0000  0.04
Nb: 0.5000 0.5000 0.5000  2.48

* space-group type: Pm-3m
* ΔE to the lowest computed polymorph: 0.0 meV/atom

---

# 21
The following is a PBE calculation of a geometry-optimized YNbIr structure, from the Alexandria database.

a b c (Å): 3.9407 3.9407 8.5796
angles (deg): 103.28 103.28 90.00
Sites, in units of the cell vectors:
Nb: 0.0000 0.5000 0.0000
Nb: 0.5000 0.0000 0.0000
Ir: 0.8759 0.8759 0.7519
Ir: 0.1241 0.1241 0.2481
Y: 0.6765 0.6765 0.3529
Y: 0.3235 0.3235 0.6471

* space-group type: I4/mmm

---

# 22
The following is a PBE calculation of a geometry-optimized Y2ZrNbIr structure, from the Alexandria database.

a b c (Å): 5.3002 4.7767 5.3002
angles (deg): 90.00 90.00 90.00
Last column: magnetic moment on the atom in μB.
Sites, in units of the cell vectors:
Y: 0.0000 0.0000 0.5000  0.06
Y: 0.5000 0.0000 0.0000  0.05
Nb: 0.0000 0.0000 0.0000  -0.19
Zr: 0.5000 0.5000 0.5000  0.79
Ir: 0.0000 0.5000 0.0000  0.01

* space-group type: P4/mmm

---

# 23
The following is a PBE calculation of a geometry-optimized NbZnIr3 structure, from the Alexandria database.

a b c (Å): 4.4580 4.4580 4.4580
angles (deg): 90.00 90.00 90.00
Sites, in units of the cell vectors:
Ir: 0.5000 0.0000 0.0000
Ir: 0.0000 0.5000 0.0000
Ir: 0.0000 0.0000 0.5000
Nb: 0.5000 0.5000 0.5000
Zn: 0.0000 0.0000 0.0000

* space-group type: Pm-3m
* ΔE to the lowest computed polymorph: 0.0 meV/atom

---

# 24
The following is a PBE calculation of a geometry-optimized NbZn2Ir2 structure, from the Alexandria database.

a b c (Å): 2.9189 2.8892 9.4769
angles (deg): 81.23 90.00 90.00
Sites, in units of the cell vectors:
Zn: 0.0000 0.8095 0.3809
Zn: 0.0000 0.1905 0.6191
Ir: 0.5000 0.4005 0.1989
Ir: 0.5000 0.5995 0.8011
Nb: 0.0000 0.0000 0.0000

* space-group type: Cmmm
* ΔE to the lowest computed polymorph: 0.0 meV/atom

---

# 25
The following is a PBE calculation of a geometry-optimized NbZnIr structure, from the Alexandria database.

a b c (Å): 4.2842 4.8638 5.1751
angles (deg): 90.00 90.00 116.13
Sites, in units of the cell vectors:
Zn: 0.5000 0.0000 0.5000
Zn: 0.5000 0.0000 0.0000
Ir: 0.1138 0.2277 0.2500
Ir: 0.8862 0.7723 0.7500
Nb: 0.2099 0.4197 0.7500
Nb: 0.7901 0.5803 0.2500

* space-group type: Cmcm

---

# 26
The following is a PBE calculation of a geometry-optimized Nb2ZnIr structure, from the Alexandria database.

a b c (Å): 3.7352 3.7352 6.6687
angles (deg): 73.74 73.74 60.00
Sites, in units of the cell vectors:
Ir: 0.5000 0.5000 0.5000
Nb: 0.7594 0.7594 0.7218
Nb: 0.2406 0.2406 0.2782
Zn: 0.0000 0.0000 0.0000

* space-group type: R-3m

---

Number 1: raw total energy -82.32 eV/cell, energy of formation from the pure elements -465 meV per atom. Number 2: raw total energy -60.11 eV/cell, energy of formation from the pure elements 331 meV per atom. Number 3: raw total energy -79.21 eV/cell, energy of formation from the pure elements 587 meV per atom. Number 4: raw total energy -109.47 eV/cell, energy of formation from the pure elements -328 meV per atom. Number 5: raw total energy -164.65 eV/cell, energy of formation from the pure elements -116 meV per atom. Number 6: raw total energy -40.30 eV/cell, energy of formation from the pure elements 112 meV per atom. Number 7: raw total energy -114.67 eV/cell, energy of formation from the pure elements -152 meV per atom. Number 8: raw total energy -42.32 eV/cell, energy of formation from the pure elements -395 meV per atom. Number 9: raw total energy -62.02 eV/cell, energy of formation from the pure elements 292 meV per atom. Number 10: raw total energy -42.88 eV/cell, energy of formation from the pure elements -231 meV per atom. Number 11: raw total energy -102.17 eV/cell, energy of formation from the pure elements -463 meV per atom. Number 12: raw total energy -79.07 eV/cell, energy of formation from the pure elements 303 meV per atom. Number 13: raw total energy -103.06 eV/cell, energy of formation from the pure elements -143 meV per atom. Number 14: raw total energy -84.73 eV/cell, energy of formation from the pure elements -404 meV per atom. Number 15: raw total energy -41.67 eV/cell, energy of formation from the pure elements -310 meV per atom. Number 16: raw total energy -34.14 eV/cell, energy of formation from the pure elements 2279 meV per atom. Number 17: raw total energy -42.56 eV/cell, energy of formation from the pure elements 595 meV per atom. Number 18: raw total energy -84.40 eV/cell, energy of formation from the pure elements -54 meV per atom. Number 19: raw total energy -33.67 eV/cell, energy of formation from the pure elements 931 meV per atom. Number 20: raw total energy -37.14 eV/cell, energy of formation from the pure elements 236 meV per atom. Number 21: raw total energy -53.30 eV/cell, energy of formation from the pure elements -419 meV per atom. Number 22: raw total energy -36.53 eV/cell, energy of formation from the pure elements 775 meV per atom. Number 23: raw total energy -32.30 eV/cell, energy of formation from the pure elements 1126 meV per atom. Number 24: raw total energy -31.85 eV/cell, energy of formation from the pure elements -302 meV per atom. Number 25: raw total energy -42.79 eV/cell, energy of formation from the pure elements -397 meV per atom. Number 26: raw total energy -29.24 eV/cell, energy of formation from the pure elements 259 meV per atom.